Record 1
VASP calculation (PBE-GGA) on Mg7Tl2Ga2 after structural relaxation. Values from VASP.

Output
energy above the most stable polymorph in this dataset = 83 meV/atom
formation enthalpy at 0 K = 0.04 eV/atom
ρ = 4.295 g/cm³
uncorrected energy = -21.6 eV/f.u.

Structure (Quantum ESPRESSO input):
```
&SYSTEM
  ibrav = 0, nat = 11, ntyp = 3
/
ATOMIC_SPECIES
Mg 24.30 Mg.upf
Tl 204.38 Tl.upf
Ga 69.72 Ga.upf
CELL_PARAMETERS angstrom
4.2862 -4.9218 0.0000
4.2862 4.9218 0.0000
0.0000 0.0000 6.5825
ATOMIC_POSITIONS angstrom
Mg 0.0000 0.0000 0.0000
Mg 2.1431 2.4609 1.6642
Mg 2.1431 2.4609 4.9183
Mg 2.1431 -2.4609 1.6642
Mg 2.1431 -2.4609 4.9183
Mg 4.2862 0.0000 1.6706
Mg 4.2862 0.0000 4.9120
Tl 1.5744 0.0000 3.2913
Tl 6.9980 0.0000 3.2913
Ga 4.2862 2.1806 0.0000
Ga 4.2862 -2.1806 0.0000
```

Record 2
VASP calculation (PBE-GGA) on TlCoBr2 after structural relaxation. Values from VASP.

Output
E_form (uncorrected) = -0.1990 eV per atom
energy above the most stable polymorph in this dataset = 50 meV/atom
ρ = 6.335 g/cm³
uncorrected energy = -13.6 eV/f.u.

Structure (Quantum ESPRESSO input):
```
&SYSTEM
  ibrav = 0, nat = 4, ntyp = 3
/
ATOMIC_SPECIES
Tl 204.38 Tl.upf
Co 58.93 Co.upf
Br 79.90 Br.upf
CELL_PARAMETERS angstrom
-1.8256 3.1241 4.8614
1.8256 -3.1241 4.8614
1.8256 3.1241 -4.8614
ATOMIC_POSITIONS angstrom
Tl 0.0000 0.0000 0.0000
Co 0.0000 0.0000 4.8614
Br 1.8256 0.0000 3.1961
Br 0.0000 3.1241 1.6653
```

Record 3
VASP calculation (PBE-GGA) on SrGe2MoAs after structural relaxation. Values from VASP.

Output
energy above the most stable polymorph in this dataset = 1524 meV/atom
formation enthalpy at 0 K = 2.02 eV/atom
ρ = 4.406 g/cm³
uncorrected energy = -16.3 eV/f.u.

Structure (Quantum ESPRESSO input):
```
&SYSTEM
  ibrav = 0, nat = 5, ntyp = 4
/
ATOMIC_SPECIES
Sr 87.62 Sr.upf
Ge 72.64 Ge.upf
Mo 95.94 Mo.upf
As 74.92 As.upf
CELL_PARAMETERS angstrom
5.4614 0.0000 0.0000
0.0000 5.4614 0.0000
0.0000 0.0000 5.1015
ATOMIC_POSITIONS angstrom
Sr 0.0000 0.0000 0.0000
Ge 0.0000 2.7307 0.0000
Ge 2.7307 0.0000 0.0000
Mo 0.0000 0.0000 2.5508
As 2.7307 2.7307 2.5508
```

Record 4
VASP calculation (PBE-GGA) on Ac5Pt6 after structural relaxation. Values from VASP.

Output
formation enthalpy at 0 K = -1.12 eV/atom
ρ = 12.794 g/cm³
uncorrected energy = -69.1 eV/f.u.

Structure (Quantum ESPRESSO input):
```
&SYSTEM
  ibrav = 0, nat = 11, ntyp = 2
/
ATOMIC_SPECIES
Ac 227.00 Ac.upf
Pt 195.08 Pt.upf
CELL_PARAMETERS angstrom
2.2441 -15.8819 0.0000
2.2441 15.8819 0.0000
0.0000 0.0000 4.1978
ATOMIC_POSITIONS angstrom
Ac 0.0000 0.0000 0.0000
Ac 2.2441 9.5563 2.0989
Ac 2.2441 3.6318 0.0000
Ac 2.2441 -3.6318 0.0000
Ac 2.2441 -9.5563 2.0989
Pt 2.2441 12.7402 2.0989
Pt 2.2441 6.8764 0.0000
Pt 2.2441 1.3289 2.0989
Pt 2.2441 -1.3289 2.0989
Pt 2.2441 -6.8764 0.0000
Pt 2.2441 -12.7402 2.0989
```